{
  "formula": "Tb2NiOsO8",
  "functional": "PBE with a Hubbard U",
  "state": "relaxed",
  "magmom_total_mub_per_cell": 2.00,
  "dft_energy_ha_per_atom": -0.263,
  "sg": "No. 2",
  "lattice": [[-4.644, 0.612, -1.852], [-0.429, -4.545, 0.515], [-2.002, 0.514, 6.625]],
  "species": ["Tb", "Tb", "Ni", "Os", "O", "O", "O", "O", "O", "O", "O", "O"],
  "fractional_positions": [[0.485, 0.574, 0.735], [0.515, 0.426, 0.265], [0.000, 0.000, 0.500], [0.000, 0.000, 0.000], [0.212, 0.779, 0.168], [0.713, 0.717, 0.021], [0.890, 0.179, 0.220], [0.788, 0.221, 0.832], [0.287, 0.283, 0.979], [0.110, 0.821, 0.780], [0.698, 0.732, 0.476], [0.302, 0.268, 0.524]]
}